This record from the Alexandria database describes a relaxed structure of Mg2ReAg. The functional is PBE.

Properties
DFT formation energy, meV per atom: 296
Relative energy among the computed polymorphs, meV per atom: 167

Lattice parameters (Å, degrees): 3.3363 4.4498 9.4067 90.00 90.00 90.00
With the nearest neighbours (Å) after each atom.
Space group Cmm2 (No. 35)
One atom of each set of equivalent atoms:
Mg 0.0000 0.0000 0.0000 (multiplicity 2)  6 Mg 2.78-3.10, 2 Ag 2.81
Mg 0.0000 0.5000 0.2776 (multiplicity 2)  2 Re 2.76, 4 Mg 2.78
Re 0.0000 0.0000 0.5107 (multiplicity 2)  2 Mg 2.76, 4 Re 2.78, 2 Ag 2.87
Ag 0.0000 0.5000 0.7593 (multiplicity 2)  4 Ag 2.78, 2 Mg 2.81, 2 Re 2.87

=====

This record from the Alexandria database describes a relaxed structure of Mg2ReAg. The functional is PBE.

Properties
DFT formation energy, meV per atom: 564
Relative energy among the computed polymorphs, meV per atom: 434

Lattice parameters (Å, degrees): 6.5560 6.5560 6.5560 90.00 90.00 90.00
With the nearest neighbours (Å) after each atom.
Space group F-43m (No. 216)
One atom of each set of equivalent atoms:
Mg 0.0000 0.0000 0.0000 (multiplicity 4)  4 Re 2.84, 4 Mg 2.84
Mg 0.2500 0.2500 0.2500 (multiplicity 4)  4 Mg 2.84, 4 Ag 2.84
Re 0.2500 0.2500 0.7500 (multiplicity 4)  4 Mg 2.84, 4 Ag 2.84
Ag 0.0000 0.0000 0.5000 (multiplicity 4)  4 Re 2.84, 4 Mg 2.84

=====

This record from the Alexandria database describes a relaxed structure of Mg2ReAg. The functional is PBE.

Properties
DFT formation energy, meV per atom: 328
Relative energy among the computed polymorphs, meV per atom: 198

Lattice parameters (Å, degrees): 9.2759 2.7694 5.3854 90.00 97.48 90.00
With the nearest neighbours (Å) after each atom.
Space group C2/m (No. 12)
One atom of each set of equivalent atoms:
Mg 0.2501 0.0000 0.2366 (multiplicity 4)  4 Mg 2.77-2.90, 3 Re 2.79-2.86, 3 Ag 2.87-2.91
Re 0.0000 0.5000 0.0000 (multiplicity 2)  2 Re 2.77, 6 Mg 2.79-2.86, 4 Ag 3.03
Ag 0.0000 0.0000 0.5000 (multiplicity 2)  2 Ag 2.77, 6 Mg 2.87-2.91, 4 Re 3.03

=====

This record from the Alexandria database describes a relaxed structure of MgReAg2. The functional is PBE.

Properties
DFT formation energy, meV per atom: 386

Lattice parameters (Å, degrees): 5.6663 8.6786 2.7195 90.00 90.00 90.00
With the nearest neighbours (Å) after each atom.
Space group Cmmm (No. 65)
One atom of each set of equivalent atoms:
Mg 0.0000 0.0000 0.0000 (multiplicity 2)  2 Mg 2.72, 2 Re 2.83, 8 Ag 2.93
Re 0.0000 0.5000 0.0000 (multiplicity 2)  2 Re 2.72, 2 Mg 2.83, 8 Ag 2.93
Ag 0.2500 0.2500 0.5000 (multiplicity 4)  4 Ag 2.72-2.83, 4 Re 2.93, 4 Mg 2.93